Entry from the Alexandria database: crystalline Dy6Si3C at its relaxed geometry (GGA-PBE).

```
data_Dy6Si3C
_chemical_formula_sum 'Dy12 Si6 C2'
_cell_length_a 6.3075
_cell_length_b 7.6582
_cell_length_c 9.9002
_cell_angle_alpha 90.00
_cell_angle_beta 89.28
_cell_angle_gamma 90.00
_space_group_name_H-M_alt 'P 1'
_space_group_IT_number 1
loop_
_space_group_symop_operation_xyz
'x,y,z'
loop_
_atom_site_label
_atom_site_type_symbol
_atom_site_fract_x
_atom_site_fract_y
_atom_site_fract_z
Si1 Si 0.5000 0.5000 0.0000
Si2 Si 0.0000 0.0000 0.5000
Si3 Si 0.5645 0.8939 0.7468
Si4 Si 0.4355 0.1061 0.2532
Si5 Si 0.0645 0.6061 0.2468
Si6 Si 0.9355 0.3939 0.7532
Dy1 Dy 0.8657 0.9500 0.2338
Dy2 Dy 0.8577 0.7037 0.9372
Dy3 Dy 0.1423 0.2963 0.0628
Dy4 Dy 0.6423 0.2037 0.5628
Dy5 Dy 0.3231 0.8347 0.0622
Dy6 Dy 0.1769 0.3347 0.4378
Dy7 Dy 0.3657 0.5500 0.7338
Dy8 Dy 0.8231 0.6653 0.5622
Dy9 Dy 0.6769 0.1653 0.9378
Dy10 Dy 0.6343 0.4500 0.2662
Dy11 Dy 0.1343 0.0500 0.7662
Dy12 Dy 0.3577 0.7963 0.4372
C1 C 0.0000 0.0000 0.0000
C2 C 0.5000 0.5000 0.5000
```

E   -58.2 eV/f.u.
Space-group type   P2_1/c, No. 14
Uncorrected formation energy   -0.511 eV/atom
Crystal system   monoclinic